[1]
# Er3ThCo | the Alexandria database | PBE | optimized geometry
data_Er3ThCo
_chemical_formula_sum 'Er12 Th4 Co4'
_cell_length_a 11.693
_cell_length_b 3.665
_cell_length_c 13.272
_cell_angle_alpha 90.00
_cell_angle_beta 111.11
_cell_angle_gamma 90.00
_space_group_name_H-M_alt 'C 1 m 1'
_space_group_IT_number 8
_space_group_name_Hall 'C -2y'
loop_
_atom_site_label
_atom_site_fract_x
_atom_site_fract_y
_atom_site_fract_z
Er1 0.000 0.000 0.000
Er2 0.007 0.000 0.620
Er3 0.156 0.500 0.861
Er4 0.164 0.500 0.239
Er5 0.318 0.000 0.101
Er6 0.457 0.000 0.368
Th1 0.222 0.000 0.479
Th2 0.342 0.000 0.765
Co1 0.213 0.500 0.621
Co2 0.484 0.500 0.211
# Total energy ... -5.780 eV per atom
# ΔE to the lowest computed polymorph ... 0.0 meV/atom
# Formation enthalpy at 0 K ... -0.137 eV/atom

***

[2]
# Tb4NiSb2 | the Alexandria database | PBE | optimized geometry
data_Tb4NiSb2
_chemical_formula_sum 'Tb8 Ni2 Sb4'
_cell_length_a 6.814
_cell_length_b 6.440
_cell_length_c 9.064
_cell_angle_alpha 90.00
_cell_angle_beta 108.09
_cell_angle_gamma 90.00
_space_group_name_H-M_alt 'P 1 21/m 1'
_space_group_IT_number 11
_space_group_name_Hall '-P 2yb'
loop_
_atom_site_label
_atom_site_fract_x
_atom_site_fract_y
_atom_site_fract_z
Tb1 0.016 0.003 0.275
Tb2 0.375 0.750 0.068
Tb3 0.438 0.750 0.638
Ni1 0.338 0.750 0.336
Sb1 0.211 0.250 0.041
Sb2 0.272 0.250 0.579
# Energy relative to the elements, uncorrected ... -0.64 eV per atom
# Total energy ... -5.293 eV per atom

***

[3]
# DyNbFe2 | the Alexandria database | PBE | optimized geometry
data_DyNbFe2
_chemical_formula_sum 'Dy1 Nb1 Fe2'
_cell_length_a 3.127
_cell_length_b 3.127
_cell_length_c 6.634
_cell_angle_alpha 90.00
_cell_angle_beta 90.00
_cell_angle_gamma 90.00
_space_group_name_H-M_alt 'P 4/m m m'
_space_group_IT_number 123
_space_group_name_Hall '-P 4 2'
loop_
_atom_site_label
_atom_site_fract_x
_atom_site_fract_y
_atom_site_fract_z
Dy1 0.000 0.000 0.000
Nb1 0.000 0.000 0.500
Fe1 0.500 0.500 0.288
# Total energy ... -7.864 eV per atom
# Formation enthalpy at 0 K ... 0.036 eV/atom

***

[4]
# YGa4Au | the Alexandria database | PBE | optimized geometry
data_YGa4Au
_chemical_formula_sum 'Y2 Ga8 Au2'
_cell_length_a 4.473
_cell_length_b 7.749
_cell_length_c 6.570
_cell_angle_alpha 90.00
_cell_angle_beta 90.20
_cell_angle_gamma 90.00
_space_group_name_H-M_alt 'C 1 2/m 1'
_space_group_IT_number 12
_space_group_name_Hall '-C 2y'
loop_
_atom_site_label
_atom_site_fract_x
_atom_site_fract_y
_atom_site_fract_z
Y1 0.000 0.000 0.000
Ga1 0.001 0.333 0.270
Au1 0.000 0.000 0.500
# Total energy ... -4.009 eV per atom
# Formation enthalpy at 0 K ... -0.367 eV/atom

***

[5]
# LaTiCu | the Alexandria database | PBE | optimized geometry
data_LaTiCu
_chemical_formula_sum 'La4 Ti4 Cu4'
_cell_length_a 10.894
_cell_length_b 3.262
_cell_length_c 7.537
_cell_angle_alpha 90.00
_cell_angle_beta 111.64
_cell_angle_gamma 90.00
_space_group_name_H-M_alt 'C 1 m 1'
_space_group_IT_number 8
_space_group_name_Hall 'C -2y'
loop_
_atom_site_label
_atom_site_fract_x
_atom_site_fract_y
_atom_site_fract_z
La1 0.000 0.000 0.000
La2 0.194 0.500 0.803
Ti1 0.180 0.500 0.381
Ti2 0.333 0.000 0.227
Cu1 0.371 0.000 0.603
Cu2 0.499 0.500 0.464
# Total energy ... -5.502 eV per atom
# ΔE to the lowest computed polymorph ... 124.6 meV/atom
# Formation enthalpy at 0 K ... 0.138 eV/atom

***

[6]
# Ce2ScSnC | the Alexandria database | PBE | optimized geometry
data_Ce2ScSnC
_chemical_formula_sum 'Ce2 Sc1 Sn1 C1'
_cell_length_a 4.968
_cell_length_b 4.968
_cell_length_c 4.641
_cell_angle_alpha 90.00
_cell_angle_beta 90.00
_cell_angle_gamma 90.00
_space_group_name_H-M_alt 'P 4/m m m'
_space_group_IT_number 123
_space_group_name_Hall '-P 4 2'
loop_
_atom_site_label
_atom_site_fract_x
_atom_site_fract_y
_atom_site_fract_z
Ce1 0.000 0.500 0.000
Sc1 0.000 0.000 0.500
Sn1 0.500 0.500 0.500
C1 0.000 0.000 0.000
# Total energy ... -6.800 eV per atom
# Formation enthalpy at 0 K ... -0.515 eV/atom

***

[7]
# LaRe2Sn | the Alexandria database | PBE | optimized geometry
data_LaRe2Sn
_chemical_formula_sum 'La4 Re8 Sn4'
_cell_length_a 7.876
_cell_length_b 7.876
_cell_length_c 5.828
_cell_angle_alpha 90.00
_cell_angle_beta 90.00
_cell_angle_gamma 90.00
_space_group_name_H-M_alt 'I -4 2 d'
_space_group_IT_number 122
_space_group_name_Hall 'I -4 2bw'
loop_
_atom_site_label
_atom_site_fract_x
_atom_site_fract_y
_atom_site_fract_z
La1 0.000 0.000 0.000
Re1 0.207 0.250 0.625
Sn1 0.000 0.000 0.500
# Total energy ... -7.342 eV per atom
# Formation enthalpy at 0 K ... 1.115 eV/atom

***

[8]
# Ac14YSc | the Alexandria database | PBE | optimized geometry
data_Ac14YSc
_chemical_formula_sum 'Ac14 Y1 Sc1'
_cell_length_a 7.840
_cell_length_b 7.840
_cell_length_c 11.146
_cell_angle_alpha 90.00
_cell_angle_beta 90.00
_cell_angle_gamma 90.00
_space_group_name_H-M_alt 'P 4/m m m'
_space_group_IT_number 123
_space_group_name_Hall '-P 4 2'
loop_
_atom_site_label
_atom_site_fract_x
_atom_site_fract_y
_atom_site_fract_z
Ac1 0.000 0.000 0.000
Ac2 0.000 0.500 0.000
Ac3 0.000 0.500 0.500
Ac4 0.248 0.248 0.258
Ac5 0.500 0.500 0.000
Y1 0.500 0.500 0.500
Sc1 0.000 0.000 0.500
# Total energy ... -4.351 eV per atom
# Formation enthalpy at 0 K ... 0.044 eV/atom

***

[9]
# La4AgTe2Br | the Alexandria database | PBE | optimized geometry
data_La4AgTe2Br
_chemical_formula_sum 'La4 Ag1 Te2 Br1'
_cell_length_a 7.782
_cell_length_b 4.423
_cell_length_c 7.918
_cell_angle_alpha 90.00
_cell_angle_beta 109.00
_cell_angle_gamma 90.00
_space_group_name_H-M_alt 'P 1 2/m 1'
_space_group_IT_number 10
_space_group_name_Hall '-P 2y'
loop_
_atom_site_label
_atom_site_fract_x
_atom_site_fract_y
_atom_site_fract_z
La1 0.242 0.000 0.241
La2 0.252 0.500 0.755
Ag1 0.000 0.500 0.000
Te1 0.000 0.000 0.500
Te2 0.500 0.500 0.500
Br1 0.500 0.000 0.000
# Energy relative to the elements, uncorrected ... -1.16 eV per atom
# Total energy ... -4.976 eV per atom

***

[10]
# La5Pr8Zn | the Alexandria database | PBE | optimized geometry
data_La5Pr8Zn
_chemical_formula_sum 'La10 Pr16 Zn2'
_cell_length_a 10.796
_cell_length_b 10.796
_cell_length_c 8.536
_cell_angle_alpha 90.00
_cell_angle_beta 90.00
_cell_angle_gamma 90.00
_space_group_name_H-M_alt 'I -4'
_space_group_IT_number 82
_space_group_name_Hall 'I -4'
loop_
_atom_site_label
_atom_site_fract_x
_atom_site_fract_y
_atom_site_fract_z
La1 0.000 0.000 0.000
La2 0.005 0.193 0.598
Pr1 0.000 0.342 0.924
Pr2 0.192 0.291 0.250
Zn1 0.000 0.500 0.250
# Total energy ... -4.478 eV per atom
# Formation enthalpy at 0 K ... 0.104 eV/atom

***

[11]
# Ca3Se2S | the Alexandria database | PBE | optimized geometry
data_Ca3Se2S
_chemical_formula_sum 'Ca6 Se4 S2'
_cell_length_a 4.154
_cell_length_b 5.890
_cell_length_c 12.484
_cell_angle_alpha 90.00
_cell_angle_beta 90.00
_cell_angle_gamma 90.00
_space_group_name_H-M_alt 'I m m m'
_space_group_IT_number 71
_space_group_name_Hall '-I 2 2'
loop_
_atom_site_label
_atom_site_fract_x
_atom_site_fract_y
_atom_site_fract_z
Ca1 0.000 0.000 0.000
Ca2 0.000 0.000 0.340
Se1 0.000 0.500 0.332
S1 0.000 0.500 0.000
# Energy relative to the elements, uncorrected ... -2.06 eV per atom
# Total energy ... -4.913 eV per atom

***

[12]
# MgMn2Co | the Alexandria database | PBE | optimized geometry
data_MgMn2Co
_chemical_formula_sum 'Mg3 Mn6 Co3'
_cell_length_a 2.7984
_cell_length_b 2.7984
_cell_length_c 25.6947
_cell_angle_alpha 90.00
_cell_angle_beta 90.00
_cell_angle_gamma 120.00
_space_group_name_H-M_alt 'R -3 m'
_space_group_IT_number 166
_space_group_name_Hall '-R 3 2"'
loop_
_atom_site_label
_atom_site_fract_x
_atom_site_fract_y
_atom_site_fract_z
Mg1 0.0000 0.0000 0.0000
Mn1 0.0000 0.0000 0.2408
Co1 0.0000 0.0000 0.5000
# Total energy ... -6.447 eV per atom
# ΔE to the lowest computed polymorph ... 181.5 meV/atom
# Formation enthalpy at 0 K ... 0.313 eV/atom

***

Q: total energy of number 2 (Tb4NiSb2)?
A: -5.293 eV per atom